1.
Entry from the Alexandria database: Hg2TeBr3 after structural relaxation (GGA-PBEsol).

E_form (uncorrected) = -366 meV/atom
final energy = -49.86 eV/cell
volume = 30.4 A^3/atom

Lattice parameters (Å, degrees): 7.5166 10.0168 9.7891 90.00 98.52 90.00
Sites, in units of the cell vectors:
Te  0.5373  0.4362  0.6292
Te  0.9627  0.9362  0.8708
Te  0.4627  0.5638  0.3708
Te  0.0373  0.0638  0.1292
Hg  0.5236  0.1899  0.5164
Hg  0.9764  0.6899  0.9836
Hg  0.4764  0.8101  0.4836
Hg  0.0236  0.3101  0.0164
Hg  0.1856  0.4454  0.6580
Hg  0.3144  0.9454  0.8420
Hg  0.8144  0.5546  0.3420
Hg  0.6856  0.0546  0.1580
Br  0.2482  0.0101  0.5093
Br  0.2518  0.5101  0.9907
Br  0.7518  0.9899  0.4907
Br  0.7482  0.4899  0.0093
Br  0.4715  0.2426  0.2304
Br  0.0285  0.7426  0.2696
Br  0.5285  0.7574  0.7696
Br  0.9715  0.2574  0.7304
Br  0.9654  0.6517  0.6364
Br  0.5346  0.1517  0.8636
Br  0.0346  0.3483  0.3636
Br  0.4654  0.8483  0.1364

---

2.
Entry from the Alexandria database: Hg3Te2Br2 after structural relaxation (GGA-PBEsol).

E_form (uncorrected) = -301 meV/atom
final energy = -29.20 eV/cell
volume = 34.3 A^3/atom

Lattice parameters (Å, degrees): 8.5462 8.5462 8.5462 109.47 109.47 109.47
Sites, in units of the cell vectors:
Br  0.5000  0.5102  0.5000
Br  0.5102  0.0000  0.0000
Br  0.0000  0.5000  0.0102
Br  0.9898  0.9898  0.4898
Hg  0.4367  0.7500  0.1867
Hg  0.0633  0.2500  0.3133
Hg  0.2500  0.8133  0.5633
Hg  0.7500  0.6867  0.9367
Hg  0.8133  0.0633  0.7500
Hg  0.6867  0.4367  0.2500
Te  0.5000  0.0470  0.5000
Te  0.0470  0.0000  0.0000
Te  0.0000  0.5000  0.5470
Te  0.4530  0.4530  0.9530

---

3.
Entry from the Alexandria database: TlHg2Br after structural relaxation (GGA-PBEsol).

E_form (uncorrected) = -283 meV/atom
final energy = -6.76 eV/cell
volume = 29.3 A^3/atom

Lattice parameters (Å, degrees): 4.4657 4.4657 5.8784 90.00 90.00 92.66
Sites, in units of the cell vectors:
Tl  0.5000  0.5000  0.5000
Hg  0.7526  0.2474  0.0000
Hg  0.2474  0.7526  0.0000
Br  0.0000  0.0000  0.5000

---

4.
Entry from the Alexandria database: TlHgBr after structural relaxation (GGA-PBEsol).

E_form (uncorrected) = -401 meV/atom
final energy = -6.27 eV/cell
volume = 29.2 A^3/atom

Lattice parameters (Å, degrees): 3.8834 3.8834 6.4197 107.61 107.61 90.00
Sites, in units of the cell vectors:
Tl  0.3447  0.3447  0.6894
Hg  0.6666  0.6666  0.3332
Br  0.9887  0.9887  0.9774

---

5.
Entry from the Alexandria database: TlHg2Br after structural relaxation (GGA-PBEsol).

E_form (uncorrected) = -290 meV/atom
final energy = -6.79 eV/cell
volume = 28.9 A^3/atom

Lattice parameters (Å, degrees): 4.4056 4.4056 6.6972 108.59 108.59 91.69
Sites, in units of the cell vectors:
Tl  0.0000  0.0000  0.0000
Hg  0.5000  0.0000  0.5000
Hg  0.0000  0.5000  0.5000
Br  0.5000  0.5000  0.0000

---

6.
Entry from the Alexandria database: TlHg2Br after structural relaxation (GGA-PBEsol).

E_form (uncorrected) = -288 meV/atom
final energy = -6.78 eV/cell
volume = 28.1 A^3/atom

Lattice parameters (Å, degrees): 4.4370 4.4370 6.5104 109.92 109.92 90.00
Sites, in units of the cell vectors:
Tl  0.5000  0.5000  0.0000
Hg  0.7500  0.2500  0.5000
Hg  0.2500  0.7500  0.5000
Br  0.0000  0.0000  0.0000

---

7.
Entry from the Alexandria database: TlHg2Br after structural relaxation (GGA-PBEsol).

E_form (uncorrected) = -265 meV/atom
final energy = -6.69 eV/cell
volume = 28.4 A^3/atom

Lattice parameters (Å, degrees): 5.1216 5.1752 5.7307 116.30 90.00 119.66
Sites, in units of the cell vectors:
Tl  0.5056  0.0112  0.5180
Hg  0.9859  0.9718  0.9559
Hg  0.2594  0.5187  0.7792
Br  0.7492  0.4983  0.2469

---

8.
Entry from the Alexandria database: TlHgBr after structural relaxation (GGA-PBEsol).

E_form (uncorrected) = -395 meV/atom
final energy = -6.25 eV/cell
volume = 31.9 A^3/atom

Lattice parameters (Å, degrees): 4.7568 4.7568 4.8896 90.00 90.00 120.00
Sites, in units of the cell vectors:
Tl  0.6667  0.3333  0.3367
Hg  0.3333  0.6667  0.6504
Br  0.0000  0.0000  0.0129

---

9.
Entry from the Alexandria database: TlHg2Br after structural relaxation (GGA-PBEsol).

E_form (uncorrected) = -295 meV/atom
final energy = -6.81 eV/cell
volume = 29.6 A^3/atom

Lattice parameters (Å, degrees): 4.4462 4.2158 6.6986 90.00 109.33 90.00
Sites, in units of the cell vectors:
Tl  0.8421  0.0000  0.5634
Hg  0.1148  0.0000  0.1013
Hg  0.6442  0.5000  0.1594
Br  0.3989  0.5000  0.6760

---

10.
Entry from the Alexandria database: TlHg2Br after structural relaxation (GGA-PBEsol).

E_form (uncorrected) = -279 meV/atom
final energy = -6.75 eV/cell
volume = 28.3 A^3/atom

Lattice parameters (Å, degrees): 3.9145 3.9145 7.3901 90.00 90.00 90.00
Sites, in units of the cell vectors:
Tl  0.0000  0.0000  0.5200
Hg  0.0000  0.0000  0.0256
Hg  0.5000  0.5000  0.2223
Br  0.5000  0.5000  0.7321

---

11.
Entry from the Alexandria database: TlHg5Br11 after structural relaxation (GGA-PBEsol).

E_form (uncorrected) = -447 meV/atom
final energy = -33.63 eV/cell
volume = 30.8 A^3/atom

Lattice parameters (Å, degrees): 6.7033 9.4852 9.4852 102.38 106.75 106.75
Sites, in units of the cell vectors:
Tl  0.0000  0.0000  0.0000
Hg  0.6825  0.0231  0.3513
Hg  0.3175  0.9769  0.6487
Hg  0.3175  0.6487  0.9769
Hg  0.6825  0.3513  0.0231
Hg  0.0000  0.5000  0.5000
Br  0.4051  0.6504  0.6504
Br  0.5949  0.3496  0.3496
Br  0.7112  0.1421  0.7068
Br  0.2888  0.8579  0.2932
Br  0.2888  0.2932  0.8579
Br  0.7112  0.7068  0.1421
Br  0.5000  0.0000  0.0000
Br  0.9172  0.8248  0.5799
Br  0.0828  0.1752  0.4201
Br  0.0828  0.4201  0.1752
Br  0.9172  0.5799  0.8248

---

12.
Entry from the Alexandria database: TlHg2Br after structural relaxation (GGA-PBEsol).

E_form (uncorrected) = -289 meV/atom
final energy = -6.79 eV/cell
volume = 28.2 A^3/atom

Lattice parameters (Å, degrees): 4.4859 4.4859 5.6089 90.00 90.00 90.00
Sites, in units of the cell vectors:
Tl  0.5000  0.5000  0.5000
Hg  0.0000  0.5000  0.0000
Hg  0.5000  0.0000  0.0000
Br  0.0000  0.0000  0.5000